(1)
{"formula": "LiSc2Te", "functional": "SCAN", "state": "PBEsol geometry", "dos_at_fermi_per_ev_atom": 0.36, "energy_ev_per_atom": -17.569, "formation_energy_uncorrected_mev_per_atom": -540, "lattice_angstrom": [[-2.4205, -2.2543, 1.7113], [2.8282, -1.8418, 1.5742], [-0.1732, 3.7758, 4.7290]], "species": ["Li", "Sc", "Sc", "Te"], "fractional_positions": [[0.5000, 0.5000, 0.5000], [0.0000, 0.0000, 0.7447], [0.0000, 0.0000, 0.2553], [0.5000, 0.5000, 0.0000]]}



(2)
{"formula": "CoCuW2", "functional": "SCAN", "state": "PBEsol geometry", "dos_at_fermi_per_ev_atom": 0.73, "delta_e_f_ev_per_atom": 0.262, "energy_ev_per_atom": -42.708, "lattice_angstrom": [[2.6206, 0.0000, 0.0046], [0.0000, 4.2191, 0.0000], [-0.5643, 0.0000, 4.7426]], "species": ["Co", "Cu", "W", "W"], "fractional_positions": [[0.3764, 0.0000, 0.4830], [0.3834, 0.5000, 0.7637], [0.9668, 0.0000, 0.9650], [0.7734, 0.5000, 0.2884]]}



(3)
{"formula": "Mn2CoRe", "functional": "SCAN", "state": "PBEsol geometry", "dos_at_fermi_per_ev_atom": 0.78, "delta_e_f_ev_per_atom": 0.072, "energy_ev_per_atom": -31.156, "lattice_angstrom": [[-0.7553, -0.3597, 2.4166], [4.3209, -0.5610, -0.0862], [-0.1799, 4.3488, 0.5911]], "species": ["Co", "Mn", "Mn", "Re"], "fractional_positions": [[0.2531, 0.5062, 0.7556], [0.0016, 0.0033, 0.0098], [0.7441, 0.4882, 0.2249], [0.5012, 0.0023, 0.5096]]}



(4)
{"formula": "KSb2P", "functional": "SCAN", "state": "PBEsol geometry", "dos_at_fermi_per_ev_atom": 0.47, "energy_ev_per_atom": -23.347, "formation_energy_uncorrected_mev_per_atom": -35, "lattice_angstrom": [[3.4994, 0.0000, 0.0000], [0.0000, 5.6873, 0.0000], [-1.7497, -2.8437, 5.1867]], "species": ["Sb", "Sb", "K", "P"], "fractional_positions": [[0.6964, 0.6964, 0.3927], [0.3036, 0.3036, 0.6073], [0.5000, 0.0000, 0.0000], [0.0000, 0.5000, 0.0000]]}



(5)
{"formula": "InSe2", "functional": "SCAN", "state": "PBEsol geometry", "dos_at_fermi_per_ev_atom": 0.94, "energy_ev_per_atom": -24.418, "formation_energy_uncorrected_mev_per_atom": 96, "lattice_angstrom": [[5.1988, 0.0000, 0.0000], [-2.5994, 4.5023, 0.0000], [0.0000, 0.0000, 5.5135]], "species": ["In", "In", "Se", "Se", "Se", "Se"], "fractional_positions": [[0.6667, 0.3333, 0.7500], [0.3333, 0.6667, 0.2500], [0.0000, 0.0000, 0.0000], [0.0000, 0.0000, 0.5000], [0.6667, 0.3333, 0.2500], [0.3333, 0.6667, 0.7500]]}



(6)
{"formula": "CuSeN3", "functional": "SCAN", "state": "PBEsol geometry", "dos_at_fermi_per_ev_atom": 0.33, "energy_ev_per_atom": -10.508, "formation_energy_uncorrected_mev_per_atom": 2122, "lattice_angstrom": [[3.7173, 0.0000, 0.0000], [0.0000, 3.7173, 0.0000], [0.0000, 0.0000, 3.7173]], "species": ["Cu", "Se", "N", "N", "N"], "fractional_positions": [[0.5000, 0.5000, 0.5000], [0.0000, 0.0000, 0.0000], [0.0000, 0.5000, 0.0000], [0.0000, 0.0000, 0.5000], [0.5000, 0.0000, 0.0000]]}



(7)
{"formula": "AlCoCu2", "functional": "SCAN", "state": "PBEsol geometry", "dos_at_fermi_per_ev_atom": 0.55, "delta_e_f_ev_per_atom": -0.042, "energy_ev_per_atom": -13.906, "lattice_angstrom": [[2.9488, 0.0000, 0.0000], [0.0000, 2.9488, 0.0000], [0.0000, 0.0000, 5.3848]], "species": ["Co", "Al", "Cu", "Cu"], "fractional_positions": [[0.5000, 0.5000, 0.5000], [0.5000, 0.5000, 0.0000], [0.0000, 0.0000, 0.7414], [0.0000, 0.0000, 0.2586]]}



(8)
{"formula": "Mn3Cr", "functional": "SCAN", "state": "PBEsol geometry", "dos_at_fermi_per_ev_atom": 0.80, "delta_e_f_ev_per_atom": 0.126, "energy_ev_per_atom": -18.162, "lattice_angstrom": [[4.3970, 0.0000, 0.0000], [0.0000, 4.3970, 0.0000], [0.0000, 0.0000, 4.3970]], "species": ["Cr", "Cr", "Mn", "Mn", "Mn", "Mn", "Mn", "Mn"], "fractional_positions": [[0.0000, 0.0000, 0.0000], [0.5000, 0.5000, 0.5000], [0.0000, 0.2500, 0.5000], [0.0000, 0.7500, 0.5000], [0.2500, 0.5000, 0.0000], [0.5000, 0.0000, 0.2500], [0.5000, 0.0000, 0.7500], [0.7500, 0.5000, 0.0000]]}



(9)
{"formula": "Y2PdAu2", "functional": "SCAN", "state": "PBEsol geometry", "dos_at_fermi_per_ev_atom": 0.65, "delta_e_f_ev_per_atom": -0.996, "energy_ev_per_atom": -46.351, "lattice_angstrom": [[-2.4124, 0.7887, -2.8166], [0.0073, -7.2213, -2.0282], [-5.7865, -1.2959, 4.5931]], "species": ["Y", "Y", "Y", "Y", "Au", "Au", "Au", "Au", "Pd", "Pd"], "fractional_positions": [[0.5000, 0.1727, 0.6727], [0.5000, 0.6727, 0.8273], [0.5000, 0.8273, 0.3273], [0.5000, 0.3273, 0.1727], [0.0000, 0.3687, 0.8687], [0.0000, 0.8687, 0.6313], [0.0000, 0.6313, 0.1313], [0.0000, 0.1313, 0.3687], [0.0000, 0.0000, 0.0000], [0.0000, 0.5000, 0.5000]]}



(10)
{"formula": "TiSeBr2O", "functional": "SCAN", "state": "PBEsol geometry", "dos_at_fermi_per_ev_atom": 0.35, "energy_ev_per_atom": -16.004, "formation_energy_uncorrected_mev_per_atom": 247, "lattice_angstrom": [[4.1980, 0.0000, 0.0000], [0.0000, 4.7267, 0.0000], [0.0000, 0.0000, 4.7267]], "species": ["O", "Se", "Br", "Br", "Ti"], "fractional_positions": [[0.0000, 0.0000, 0.0000], [0.5000, 0.0000, 0.0000], [0.0000, 0.0000, 0.5000], [0.0000, 0.5000, 0.0000], [0.5000, 0.5000, 0.5000]]}



(11)
{"formula": "Te2PbAuN", "functional": "SCAN", "state": "PBEsol geometry", "dos_at_fermi_per_ev_atom": 0.46, "energy_ev_per_atom": -45.151, "formation_energy_uncorrected_mev_per_atom": 596, "lattice_angstrom": [[-1.1416, -0.5675, -3.6582], [5.1780, -1.8614, -1.3272], [-1.5633, -5.2807, 1.3070]], "species": ["Pb", "Te", "Te", "Au", "N"], "fractional_positions": [[0.5000, 0.5000, 0.5000], [0.0000, 0.0000, 0.5000], [0.0000, 0.5000, 0.0000], [0.0000, 0.0000, 0.0000], [0.5000, 0.0000, 0.0000]]}



(12)
{"formula": "TaRhIO2", "functional": "SCAN", "state": "PBEsol geometry", "dos_at_fermi_per_ev_atom": 0.74, "energy_ev_per_atom": -29.326, "formation_energy_uncorrected_mev_per_atom": 586, "lattice_angstrom": [[3.9513, 0.0000, 0.0000], [0.0000, 3.9513, 0.0000], [0.0000, 0.0000, 5.2084]], "species": ["I", "Rh", "O", "O", "Ta"], "fractional_positions": [[0.0000, 0.0000, 0.5000], [0.0000, 0.0000, 0.0000], [0.0000, 0.5000, 0.0000], [0.5000, 0.0000, 0.0000], [0.5000, 0.5000, 0.5000]]}



(13)
{"formula": "TlSi2Ag", "functional": "SCAN", "state": "PBEsol geometry", "dos_at_fermi_per_ev_atom": 0.35, "energy_ev_per_atom": -30.402, "formation_energy_uncorrected_mev_per_atom": 537, "lattice_angstrom": [[2.9131, 0.0000, 0.0000], [0.0000, 3.9648, 0.0000], [0.0000, 0.0000, 6.8878]], "species": ["Ag", "Si", "Si", "Tl"], "fractional_positions": [[0.5000, 0.5000, 0.5000], [0.0000, 0.0000, 0.6822], [0.0000, 0.0000, 0.3178], [0.5000, 0.5000, 0.0000]]}



(14)
{"formula": "Cs2NiP2S6", "functional": "SCAN", "state": "PBEsol geometry", "dos_at_fermi_per_ev_atom": 0.00, "energy_ev_per_atom": -16.362, "formation_energy_uncorrected_mev_per_atom": -875, "lattice_angstrom": [[5.8421, -0.0348, 0.0000], [-0.5214, 7.5976, 0.0000], [0.0000, 0.0000, 12.6025]], "species": ["Cs", "Cs", "Cs", "Cs", "Ni", "Ni", "P", "P", "P", "P", "S", "S", "S", "S", "S", "S", "S", "S", "S", "S", "S", "S"], "fractional_positions": [[0.7334, 0.0322, 0.6727], [0.2666, 0.9678, 0.3273], [0.2334, 0.5322, 0.8273], [0.7666, 0.4678, 0.1727], [0.0000, 0.0000, 0.0000], [0.5000, 0.5000, 0.5000], [0.4546, 0.1220, 0.9614], [0.5454, 0.8780, 0.0386], [0.9546, 0.6220, 0.5386], [0.0454, 0.3780, 0.4614], [0.7299, 0.2672, 0.4270], [0.7701, 0.2328, 0.9270], [0.2576, 0.2372, 0.0695], [0.7576, 0.7372, 0.4305], [0.2424, 0.2628, 0.5695], [0.7399, 0.5389, 0.6576], [0.7601, 0.9611, 0.1576], [0.2399, 0.0389, 0.8424], [0.2701, 0.7328, 0.5730], [0.2299, 0.7672, 0.0730], [0.7424, 0.7628, 0.9305], [0.2601, 0.4611, 0.3424]]}



(15)
{"formula": "Ba2ScUO6", "functional": "SCAN", "state": "PBEsol geometry", "energy_ev_per_atom": -26.972, "formation_energy_uncorrected_mev_per_atom": -3547, "lattice_angstrom": [[-3.9393, -0.8236, 4.4380], [-4.3842, -4.0391, -0.5973], [0.1239, -5.0531, 3.2160]], "species": ["Ba", "Ba", "Sc", "U", "O", "O", "O", "O", "O", "O"], "fractional_positions": [[0.2500, 0.2500, 0.2500], [0.7500, 0.7500, 0.7500], [0.5000, 0.5000, 0.5000], [0.0000, 0.0000, 0.0000], [0.7481, 0.2519, 0.2519], [0.2519, 0.7481, 0.7481], [0.7481, 0.2519, 0.7481], [0.2519, 0.7481, 0.2519], [0.7481, 0.7481, 0.2519], [0.2519, 0.2519, 0.7481]]}



(16)
{"formula": "AlPt2W", "functional": "SCAN", "state": "PBEsol geometry", "dos_at_fermi_per_ev_atom": 0.76, "delta_e_f_ev_per_atom": -0.388, "energy_ev_per_atom": -54.845, "lattice_angstrom": [[-2.8378, 2.6048, 0.3818], [-1.6927, -1.3754, -3.1979], [0.2034, -3.1828, 3.6040]], "species": ["W", "Pt", "Pt", "Al"], "fractional_positions": [[0.5000, 0.5000, 0.0000], [0.7500, 0.2500, 0.5000], [0.2500, 0.7500, 0.5000], [0.0000, 0.0000, 0.0000]]}



(17)
{"formula": "BaCuSi2", "functional": "SCAN", "state": "PBEsol geometry", "dos_at_fermi_per_ev_atom": 0.32, "energy_ev_per_atom": -18.941, "formation_energy_uncorrected_mev_per_atom": -246, "lattice_angstrom": [[-2.2654, 0.2422, -3.2832], [1.2284, -1.6940, -3.4047], [-3.1462, -5.6347, -0.6770]], "species": ["Si", "Si", "Ba", "Cu"], "fractional_positions": [[0.2941, 0.2941, 0.1176], [0.7059, 0.7059, 0.8824], [0.5000, 0.5000, 0.5000], [0.0000, 0.0000, 0.0000]]}



(18)
{"formula": "Ga2RuW", "functional": "SCAN", "state": "PBEsol geometry", "dos_at_fermi_per_ev_atom": 0.65, "delta_e_f_ev_per_atom": 0.195, "energy_ev_per_atom": -34.106, "lattice_angstrom": [[-1.7501, -2.3854, 3.1412], [2.3547, -1.0906, 3.4476], [-0.8469, 1.7757, 3.8406]], "species": ["Ru", "Ga", "Ga", "W"], "fractional_positions": [[0.0000, 0.0000, 0.0000], [0.2500, 0.2500, 0.2500], [0.7500, 0.7500, 0.7500], [0.5000, 0.5000, 0.5000]]}



(19)
{"formula": "NaMn6Al3H42S2O38", "functional": "SCAN", "state": "PBEsol geometry", "dos_at_fermi_per_ev_atom": 0.00, "energy_ev_per_atom": -7.318, "lattice_angstrom": [[-1.8932, -6.4533, -6.5910], [4.7867, 0.0077, -8.1091], [8.3360, -8.7487, -0.5550]], "species": ["Na", "Mn", "Mn", "Mn", "Mn", "Mn", "Mn", "Al", "Al", "Al", "H", "H", "H", "H", "H", "H", "H", "H", "H", "H", "H", "H", "H", "H", "H", "H", "H", "H", "H", "H", "H", "H", "H", "H", "H", "H", "H", "H", "H", "H", "H", "H", "H", "H", "H", "H", "H", "H", "H", "H", "H", "H", "S", "S", "O", "O", "O", "O", "O", "O", "O", "O", "O", "O", "O", "O", "O", "O", "O", "O", "O", "O", "O", "O", "O", "O", "O", "O", "O", "O", "O", "O", "O", "O", "O", "O", "O", "O", "O", "O", "O", "O"], "fractional_positions": [[0.0000, 0.0000, 0.0000], [0.8353, 0.4976, 0.5003], [0.4976, 0.1668, 0.5003], [0.1668, 0.8353, 0.5003], [0.1647, 0.5024, 0.4997], [0.5024, 0.8332, 0.4997], [0.8332, 0.1647, 0.4997], [0.8363, 0.8363, 0.4910], [0.1637, 0.1637, 0.5090], [0.5000, 0.5000, 0.5000], [0.3098, 0.3304, 0.3199], [0.3304, 0.0400, 0.3199], [0.0400, 0.3098, 0.3199], [0.6902, 0.6696, 0.6801], [0.6696, 0.9600, 0.6801], [0.9600, 0.6902, 0.6801], [0.7003, 0.9745, 0.3094], [0.9745, 0.0157, 0.3094], [0.0157, 0.7003, 0.3094], [0.2997, 0.0255, 0.6906], [0.0255, 0.9843, 0.6906], [0.9843, 0.2997, 0.6906], [0.6902, 0.6343, 0.3172], [0.6343, 0.3583, 0.3172], [0.3583, 0.6902, 0.3172], [0.3098, 0.3657, 0.6828], [0.3657, 0.6417, 0.6828], [0.6417, 0.3098, 0.6828], [0.7722, 0.6497, 0.1084], [0.6497, 0.4697, 0.1084], [0.4697, 0.7722, 0.1084], [0.2278, 0.3503, 0.8916], [0.3503, 0.5303, 0.8916], [0.5303, 0.2278, 0.8916], [0.9367, 0.5489, 0.1603], [0.5489, 0.3541, 0.1603], [0.3541, 0.9367, 0.1603], [0.0633, 0.4511, 0.8397], [0.4511, 0.6459, 0.8397], [0.6459, 0.0633, 0.8397], [0.7835, 0.8468, 0.1595], [0.8468, 0.2102, 0.1595], [0.2102, 0.7835, 0.1595], [0.2165, 0.1532, 0.8405], [0.1532, 0.7898, 0.8405], [0.7898, 0.2165, 0.8405], [0.6272, 0.0234, 0.1431], [0.0234, 0.2063, 0.1431], [0.2063, 0.6272, 0.1431], [0.3728, 0.9766, 0.8569], [0.9766, 0.7937, 0.8569], [0.7937, 0.3728, 0.8569], [0.2966, 0.2966, 0.1101], [0.7034, 0.7034, 0.8899], [0.6571, 0.6571, 0.0288], [0.3429, 0.3429, 0.9712], [0.3418, 0.3923, 0.1541], [0.3923, 0.1118, 0.1541], [0.1118, 0.3418, 0.1541], [0.6582, 0.6077, 0.8459], [0.6077, 0.8882, 0.8459], [0.8882, 0.6582, 0.8459], [0.2918, 0.2974, 0.4106], [0.2974, 0.0002, 0.4106], [0.0002, 0.2918, 0.4106], [0.7081, 0.7026, 0.5894], [0.7026, 0.9998, 0.5894], [0.9998, 0.7081, 0.5894], [0.6671, 0.9653, 0.4003], [0.9653, 0.9672, 0.4003], [0.9672, 0.6671, 0.4003], [0.3329, 0.0347, 0.5997], [0.0347, 0.0328, 0.5997], [0.0328, 0.3329, 0.5997], [0.6336, 0.6275, 0.4064], [0.6275, 0.3324, 0.4064], [0.3324, 0.6336, 0.4064], [0.3664, 0.3725, 0.5936], [0.3725, 0.6676, 0.5936], [0.6676, 0.3664, 0.5936], [0.8249, 0.6464, 0.1672], [0.6464, 0.3615, 0.1672], [0.3615, 0.8249, 0.1672], [0.1751, 0.3536, 0.8328], [0.3536, 0.6385, 0.8328], [0.6385, 0.1751, 0.8328], [0.7432, 0.9696, 0.1541], [0.9696, 0.1330, 0.1541], [0.1330, 0.7432, 0.1541], [0.2568, 0.0304, 0.8459], [0.0304, 0.8670, 0.8459], [0.8670, 0.2568, 0.8459]]}



(20)
{"formula": "CaZrCo2", "functional": "SCAN", "state": "PBEsol geometry", "dos_at_fermi_per_ev_atom": 0.56, "delta_e_f_ev_per_atom": 0.106, "energy_ev_per_atom": -18.637, "lattice_angstrom": [[3.1499, 0.0000, 0.0000], [0.0000, 4.5229, 0.0000], [0.0000, 0.0000, 4.5229]], "species": ["Ca", "Co", "Co", "Zr"], "fractional_positions": [[0.5000, 0.5000, 0.5000], [0.0000, 0.0000, 0.5000], [0.0000, 0.5000, 0.0000], [0.5000, 0.0000, 0.0000]]}



(21)
{"formula": "AlAg3", "functional": "SCAN", "state": "PBEsol geometry", "dos_at_fermi_per_ev_atom": 0.33, "delta_e_f_ev_per_atom": -0.057, "energy_ev_per_atom": -25.520, "lattice_angstrom": [[2.8923, 0.0000, 0.0000], [1.4461, 2.5048, 0.0000], [1.4461, 0.8349, 18.0076]], "species": ["Al", "Al", "Ag", "Ag", "Ag", "Ag", "Ag", "Ag"], "fractional_positions": [[0.0619, 0.0619, 0.8142], [0.9381, 0.9381, 0.1858], [0.5647, 0.5647, 0.3059], [0.1882, 0.1882, 0.4354], [0.8118, 0.8118, 0.5646], [0.4353, 0.4353, 0.6941], [0.6885, 0.6885, 0.9345], [0.3115, 0.3115, 0.0655]]}



(22)
{"formula": "Fe3MoH", "functional": "SCAN", "state": "PBEsol geometry", "dos_at_fermi_per_ev_atom": 0.77, "energy_ev_per_atom": -18.296, "lattice_angstrom": [[-2.1053, -2.8933, 0.2113], [2.8888, -2.1148, -0.1745], [0.2656, 0.0678, 3.5739]], "species": ["H", "Mo", "Fe", "Fe", "Fe"], "fractional_positions": [[0.0000, 0.0000, 0.0000], [0.5000, 0.5000, 0.5000], [0.0000, 0.5000, 0.0000], [0.0000, 0.0000, 0.5000], [0.5000, 0.0000, 0.0000]]}